VASP calculation (PBE-GGA) on an optimized crystal structure of La4Sm3Tm.

```
8
Lattice="12.7750 -1.7546 0.0000 12.7750 1.7546 0.0000 -0.3654 0.0000 6.2716" Properties=species:S:1:pos:R:3 pbc="T T T"
La 2.5961 0.0000 1.4628
La 6.8835 0.0000 4.7351
La 18.3011 0.0000 1.5365
La 22.5885 0.0000 4.8088
Sm -0.1827 0.0000 3.1358
Sm 3.3688 0.0000 4.6536
Sm 21.8158 0.0000 1.6180
Tm 12.7750 0.0000 0.0000
```

Output
The formation enthalpy at 0 K is 4.824 kcal/mol of atoms. The value obtained for the energy relative to the lowest polymorph listed for this composition is 0.000 eV per atom. Its space group is C2/m.


VASP calculation (PBE-GGA) on an optimized crystal structure of LiI3Br.

```
5
Lattice="5.4774 0.0000 0.0000 0.0000 5.4774 0.0000 0.0000 0.0000 5.4774" Properties=species:S:1:pos:R:3 pbc="T T T"
Li 0.0000 0.0000 0.0000
I 0.0000 0.0000 2.7387
I 0.0000 2.7387 0.0000
I 2.7387 0.0000 0.0000
Br 2.7387 2.7387 2.7387
```

Output
The value obtained for the energy relative to the lowest polymorph listed for this composition is 0.015 eV per atom. Its space group is Pm-3m. The value obtained for the energy relative to the elements, uncorrected is -0.04 eV per atom.


VASP calculation (PBE-GGA) on an optimized crystal structure of YTeP2O.

```
5
Lattice="5.4752 0.0000 0.0000 0.0000 5.4752 0.0000 0.0000 0.0000 4.1255" Properties=species:S:1:pos:R:3 pbc="T T T"
Y 0.0000 0.0000 0.0000
Te 2.7376 2.7376 2.0628
P 0.0000 2.7376 0.0000
P 2.7376 0.0000 0.0000
O 0.0000 0.0000 2.0628
```

Output
The value obtained for the energy relative to the lowest polymorph listed for this composition is 0.210 eV per atom. Its space group is P4/mmm. The value obtained for the energy relative to the elements, uncorrected is -0.11 eV per atom.


VASP calculation (PBE-GGA) on an optimized crystal structure of Na3Er3BiSe8.

```
15
Lattice="4.1037 2.3693 7.0740 -4.1037 2.3693 7.0740 0.0000 -4.7385 7.0740" Properties=species:S:1:pos:R:3 pbc="T T T"
Na -2.0518 -1.1846 7.0740
Na -2.0518 1.1846 14.1479
Na 0.0000 2.3693 7.0739
Er -4.1037 0.0000 10.6109
Er -2.0518 1.1846 3.5370
Er 2.0518 1.1846 3.5370
Bi 0.0000 0.0000 10.6109
Se -2.0843 -1.2034 12.2327
Se 0.0000 0.0000 5.1414
Se 0.0000 -2.4067 8.9892
Se -2.0843 1.2034 8.9892
Se 2.0843 -1.2034 12.2327
Se 0.0000 2.4067 12.2327
Se 0.0000 0.0000 16.0805
Se 2.0843 1.2034 8.9892
```

Output
Its space group is R-3m. The value obtained for the energy relative to the elements, uncorrected is -1.38 eV per atom.